[1]
Compound: RbNaAl2I8
Source: Alexandria via LeMat-Bulk
Functional: GGA-PBE
Structure: relaxed

```
RbNaAl2I8
1.0
7.5444 0.0000 0.0000
-3.7722 6.5336 0.0000
0.0000 0.0000 11.1391
Rb Na Al I
1 1 2 8
Direct
0.0000 0.0000 0.0000
0.0000 0.0000 0.5000
0.3333 0.6667 0.7552
0.6667 0.3333 0.2448
0.0092 0.3410 0.6858
0.3318 0.9908 0.6858
0.3333 0.6667 0.9857
0.3410 0.3318 0.3142
0.6590 0.6682 0.6858
0.6667 0.3333 0.0143
0.6682 0.0092 0.3142
0.9908 0.6590 0.3142
```

## Properties
Uncorrected energy, Ry per atom: -0.204
DOS at the Fermi energy, states/eV per atom: 0.00
Energy relative to the elements, uncorrected, eV per atom: -0.927
Space-group type: No. 147


[2]
Compound: Rb2NaAlI6
Source: Alexandria via LeMat-Bulk
Functional: GGA-PBE
Structure: relaxed

```
Rb2NaAlI6
1.0
0.0000 5.9452 5.9452
5.9452 0.0000 5.9452
5.9452 5.9452 0.0000
Rb Na Al I
2 1 1 6
Direct
0.2500 0.2500 0.2500
0.7500 0.7500 0.7500
0.0000 0.0000 0.0000
0.5000 0.5000 0.5000
0.2661 0.2661 0.7339
0.2661 0.7339 0.2661
0.2661 0.7339 0.7339
0.7339 0.2661 0.2661
0.7339 0.2661 0.7339
0.7339 0.7339 0.2661
```

## Properties
Offset from the most stable computed form, meV/atom: 31
Uncorrected energy, Ry per atom: -0.197
DOS at the Fermi energy, states/eV per atom: 0.00
Energy relative to the elements, uncorrected, eV per atom: -1.046
Space-group type: No. 225


[3]
Compound: Rb2NaAlI6
Source: Alexandria via LeMat-Bulk
Functional: GGA-PBE
Structure: relaxed

```
Rb2NaAlI6
1.0
8.2486 0.0000 0.0000
-4.1243 7.1435 0.0000
0.0000 0.0000 7.7217
Rb Na Al I
2 1 1 6
Direct
0.3333 0.6667 0.1652
0.6667 0.3333 0.8348
0.0000 0.0000 0.5000
0.0000 0.0000 0.0000
0.1597 0.3194 0.7892
0.1597 0.8403 0.7892
0.3194 0.1597 0.2108
0.6806 0.8403 0.7892
0.8403 0.1597 0.2108
0.8403 0.6806 0.2108
```

## Properties
Offset from the most stable computed form, meV/atom: 0
Uncorrected energy, Ry per atom: -0.199
DOS at the Fermi energy, states/eV per atom: 0.00
Energy relative to the elements, uncorrected, eV per atom: -1.077
Space-group type: No. 164


[4]
Compound: RbNaAlI2
Source: Alexandria via LeMat-Bulk
Functional: GGA-PBE
Structure: relaxed

```
RbNaAlI2
1.0
5.9575 0.0000 0.0000
0.0000 5.9575 0.0000
0.0000 0.0000 6.4656
Rb Na Al I
1 1 1 2
Direct
0.0000 0.0000 0.0000
0.0000 0.0000 0.5000
0.5000 0.5000 0.0000
0.0000 0.5000 0.5000
0.5000 0.0000 0.5000
```

## Properties
Uncorrected energy, Ry per atom: -0.151
DOS at the Fermi energy, states/eV per atom: 0.59
Energy relative to the elements, uncorrected, eV per atom: -0.231
Space-group type: No. 123


[5]
Compound: NaAlSbI2
Source: Alexandria via LeMat-Bulk
Functional: GGA-PBE
Structure: relaxed

```
NaAlSbI2
1.0
5.9871 0.0000 0.0000
0.0000 5.9871 0.0000
0.0000 0.0000 5.9860
Na Al Sb I
1 1 1 2
Direct
0.0000 0.0000 0.0000
0.5000 0.5000 0.5000
0.0000 0.0000 0.5000
0.0000 0.5000 0.0000
0.5000 0.0000 0.0000
```

## Properties
Offset from the most stable computed form, meV/atom: 479
Uncorrected energy, Ry per atom: -0.157
DOS at the Fermi energy, states/eV per atom: 0.25
Energy relative to the elements, uncorrected, eV per atom: 0.314
Space-group type: No. 123


[6]
Compound: NaAlSbI2
Source: Alexandria via LeMat-Bulk
Functional: GGA-PBE
Structure: relaxed

```
NaAlSbI2
1.0
5.8604 0.0000 0.0000
0.0000 5.8604 0.0000
0.0000 0.0000 5.3631
Na Al Sb I
1 1 1 2
Direct
0.0000 0.0000 0.0000
0.5000 0.5000 0.5000
0.5000 0.5000 0.0000
0.0000 0.5000 0.5000
0.5000 0.0000 0.5000
```

## Properties
Offset from the most stable computed form, meV/atom: 0
Uncorrected energy, Ry per atom: -0.193
DOS at the Fermi energy, states/eV per atom: 0.78
Energy relative to the elements, uncorrected, eV per atom: -0.166
Space-group type: No. 123


[7]
Compound: Na2AlSbI
Source: Alexandria via LeMat-Bulk
Functional: GGA-PBE
Structure: relaxed

```
Na2AlSbI
1.0
6.0742 0.0000 0.0000
0.0000 6.0742 0.0000
0.0000 0.0000 5.5568
Na Al Sb I
2 1 1 1
Direct
0.0000 0.5000 0.0000
0.5000 0.0000 0.0000
0.0000 0.0000 0.0000
0.5000 0.5000 0.5000
0.0000 0.0000 0.5000
```

## Properties
Uncorrected energy, Ry per atom: -0.145
DOS at the Fermi energy, states/eV per atom: 0.79
Energy relative to the elements, uncorrected, eV per atom: 0.440
Space-group type: No. 123


[8]
Compound: NaSc2AlI
Source: Alexandria via LeMat-Bulk
Functional: GGA-PBE
Structure: relaxed

```
NaSc2AlI
1.0
5.3568 0.0000 0.0000
0.0000 5.3568 0.0000
0.0000 0.0000 5.3320
Na Sc Al I
1 2 1 1
Direct
0.0000 0.0000 0.0000
0.0000 0.5000 0.0000
0.5000 0.0000 0.0000
0.5000 0.5000 0.5000
0.0000 0.0000 0.5000
```

## Properties
Uncorrected energy, Ry per atom: -0.213
DOS at the Fermi energy, states/eV per atom: 1.25
Energy relative to the elements, uncorrected, eV per atom: 0.963
Space-group type: No. 123